No. 1
Entry from Alexandria: an optimized crystal structure of CuMoSe2 (PBE-GGA).

The value obtained for the total energy is -5.42 eV per atom. The energy relative to the lowest polymorph listed for this composition is 165 meV per atom. As for the volume: 358.8 Å³/cell. Its density of states at the Fermi level is 2.9 states/eV/f.u. Its formation energy (no corrections) is 0.0542 eV per atom.

The structure belongs to space group I-42d (No. 122); the cell edges are 5.6974, 5.6974 and 11.0535 Å and the angles 90.00°, 90.00° and 90.00°. The distinct sites, in fractional coordinates, are Cu at (0.0000, 0.0000, 0.0000), Mo at (0.0000, 0.0000, 0.5000) and Se at (0.2430, 0.2500, 0.1250).

=====

No. 2
Entry from Alexandria: an optimized crystal structure of CuMo2Se (PBE-GGA).

The value obtained for the total energy is -6.94 eV per atom. As for the volume: 122.9 Å³/cell. Its density of states at the Fermi level is 3.0 states/eV/f.u. Its formation energy (no corrections) is 0.3746 eV per atom.

The structure belongs to space group Immm (No. 71); the cell edges are 3.1788, 4.4255 and 8.7338 Å and the angles 90.00°, 90.00° and 90.00°. The distinct sites, in fractional coordinates, are Cu at (0.0000, 0.0000, 0.0000), Mo at (0.0000, 0.5000, 0.2316) and Se at (0.0000, 0.0000, 0.5000).

=====

No. 3
Entry from Alexandria: an optimized crystal structure of CuMoSe2 (PBE-GGA).

The value obtained for the total energy is -5.59 eV per atom. The energy relative to the lowest polymorph listed for this composition is 0 meV per atom. As for the volume: 232.1 Å³/cell. Its density of states at the Fermi level is 2.9 states/eV/f.u. Its formation energy (no corrections) is -0.1109 eV per atom.

The structure belongs to space group R-3m (No. 166, hexagonal axes); the cell edges are 3.3345, 3.3345 and 24.1066 Å and the angles 90.00°, 90.00° and 120.00°. The distinct sites, in fractional coordinates, are Cu at (0.0000, 0.0000, 0.0000), Mo at (0.0000, 0.0000, 0.5000) and Se at (0.0000, 0.0000, 0.0962).

=====

No. 4
Entry from Alexandria: an optimized crystal structure of CuMo2Se (PBE-GGA).

The value obtained for the total energy is -6.86 eV per atom. As for the volume: 122.7 Å³/cell. Its density of states at the Fermi level is 2.8 states/eV/f.u. Its formation energy (no corrections) is 0.4491 eV per atom.

The structure belongs to space group C2/m (No. 12); the cell edges are 5.3831, 8.2397 and 2.9011 Å and the angles 90.00°, 107.56° and 90.00°. The distinct sites, in fractional coordinates, are Cu at (0.0000, 0.0000, 0.0000), Mo at (0.2500, 0.2500, 0.5000) and Se at (0.0000, 0.5000, 0.0000).

=====

No. 5
Entry from Alexandria: an optimized crystal structure of CuMoSe2 (PBE-GGA).

The value obtained for the total energy is -5.40 eV per atom. The energy relative to the lowest polymorph listed for this composition is 184 meV per atom. As for the volume: 144.9 Å³/cell. Its density of states at the Fermi level is 3.0 states/eV/f.u. Its formation energy (no corrections) is 0.0729 eV per atom.

The structure belongs to space group C2/m (No. 12); the cell edges are 7.8448, 3.3031 and 5.6052 Å and the angles 90.00°, 93.67° and 90.00°. The distinct sites, in fractional coordinates, are Cu at (0.0000, 0.0000, 0.0000), Mo at (0.0000, 0.5000, 0.5000) and Se at (0.2062, 0.0000, 0.7227).

=====

No. 6
Entry from Alexandria: an optimized crystal structure of SrCuMo2Se (PBE-GGA).

The value obtained for the total energy is -5.09 eV per atom. As for the volume: 124.7 Å³/cell. Its density of states at the Fermi level is 6.3 states/eV/f.u. Its formation energy (no corrections) is 1.0984 eV per atom.

The structure belongs to space group P4/mmm (No. 123); the cell edges are 4.6548, 4.6548 and 5.7565 Å and the angles 90.00°, 90.00° and 90.00°. The distinct sites, in fractional coordinates, are Sr at (0.0000, 0.0000, 0.0000), Cu at (0.0000, 0.0000, 0.5000), Mo at (0.0000, 0.5000, 0.5000) and Se at (0.5000, 0.5000, 0.0000).

=====

No. 7
Entry from Alexandria: an optimized crystal structure of Tl3Cu3MoSe8 (PBE-GGA).

The value obtained for the total energy is -4.06 eV per atom. As for the volume: 713.1 Å³/cell. Its density of states at the Fermi level is 11.7 states/eV/f.u. Its formation energy (no corrections) is -0.1829 eV per atom.

The structure belongs to space group C2/m (No. 12); the cell edges are 13.2252, 7.6560 and 8.3259 Å and the angles 90.00°, 122.23° and 90.00°. The distinct sites, in fractional coordinates, are Tl at (0.0000, 0.0000, 0.0000), Tl at (0.2500, 0.2500, 0.0000), Cu at (0.0000, 0.5000, 0.5000), Cu at (0.2500, 0.2500, 0.5000), Mo at (0.0000, 0.0000, 0.5000), Se at (0.0150, 0.2409, 0.3015), Se at (0.2198, 0.5000, 0.6598) and Se at (0.2281, 0.0000, 0.7011).

=====

No. 8
Entry from Alexandria: an optimized crystal structure of VCu2MoSe (PBE-GGA).

The value obtained for the total energy is -5.20 eV per atom. As for the volume: 89.4 Å³/cell. Its density of states at the Fermi level is 6.4 states/eV/f.u. Its formation energy (no corrections) is 1.1289 eV per atom.

The structure belongs to space group P4/mmm (No. 123); the cell edges are 4.3488, 4.3488 and 4.7272 Å and the angles 90.00°, 90.00° and 90.00°. The distinct sites, in fractional coordinates, are V at (0.0000, 0.0000, 0.0000), Cu at (0.0000, 0.5000, 0.5000), Mo at (0.5000, 0.5000, 0.0000) and Se at (0.5000, 0.5000, 0.5000).

=====

No. 9
Entry from Alexandria: an optimized crystal structure of YCuMoSe2 (PBE-GGA).

The value obtained for the total energy is -4.64 eV per atom. As for the volume: 164.0 Å³/cell. Its density of states at the Fermi level is 3.7 states/eV/f.u. Its formation energy (no corrections) is 1.0325 eV per atom.

The structure belongs to space group P4/mmm (No. 123); the cell edges are 5.3711, 5.3711 and 5.6842 Å and the angles 90.00°, 90.00° and 90.00°. The distinct sites, in fractional coordinates, are Y at (0.0000, 0.0000, 0.0000), Cu at (0.5000, 0.5000, 0.5000), Mo at (0.0000, 0.0000, 0.5000) and Se at (0.0000, 0.5000, 0.0000).

=====

No. 10
Entry from Alexandria: an optimized crystal structure of CuSi3Mo (PBE-GGA).

The value obtained for the total energy is -5.48 eV per atom. The energy relative to the lowest polymorph listed for this composition is 0 meV per atom. As for the volume: 105.0 Å³/cell. Its density of states at the Fermi level is 4.0 states/eV/f.u. Its formation energy (no corrections) is 0.7631 eV per atom.

The structure belongs to space group Pm-3m (No. 221); the cell edges are 4.7172, 4.7172 and 4.7172 Å and the angles 90.00°, 90.00° and 90.00°. The distinct sites, in fractional coordinates, are Cu at (0.0000, 0.0000, 0.0000), Si at (0.0000, 0.5000, 0.5000) and Mo at (0.5000, 0.5000, 0.5000).

=====

No. 11
Entry from Alexandria: an optimized crystal structure of CuSi2Mo (PBE-GGA).

The value obtained for the total energy is -6.58 eV per atom. As for the volume: 55.2 Å³/cell. Its density of states at the Fermi level is 3.5 states/eV/f.u. Its formation energy (no corrections) is -0.1408 eV per atom.

The structure belongs to space group P4mm (No. 99); the cell edges are 3.3169, 3.3169 and 5.0158 Å and the angles 90.00°, 90.00° and 90.00°. The distinct sites, in fractional coordinates, are Cu at (0.0000, 0.0000, 0.0000), Si at (0.0000, 0.0000, 0.5138), Si at (0.5000, 0.5000, 0.8053) and Mo at (0.5000, 0.5000, 0.3080).

=====

No. 12
Entry from Alexandria: an optimized crystal structure of CuSi2Mo (PBE-GGA).

The value obtained for the total energy is -6.29 eV per atom. As for the volume: 112.6 Å³/cell. Its density of states at the Fermi level is 2.9 states/eV/f.u. Its formation energy (no corrections) is 0.1520 eV per atom.

The structure belongs to space group Cmmm (No. 65); the cell edges are 3.4288, 4.2930 and 7.6496 Å and the angles 90.00°, 90.00° and 90.00°. The distinct sites, in fractional coordinates, are Cu at (0.0000, 0.0000, 0.0000), Si at (0.0000, 0.5000, 0.2487) and Mo at (0.0000, 0.0000, 0.5000).

=====

Q: The highest formation energy (no corrections) belongs to which entry?
A: VCu2MoSe

=====

Q: What is the formation energy (no corrections) in the eleventh record?
A: -0.1408 eV per atom

=====

Q: Which value of formation energy (no corrections) does entry 11 give?
A: -0.1408 eV per atom

=====

Q: The lowest formation energy (no corrections) belongs to which entry?
A: Tl3Cu3MoSe8